[1]
CsCu3SnTe4 | PBE | relaxed

```
data_CsCu3SnTe4
_space_group_name_H-M_alt 'P 1'
_space_group_IT_number 1
_cell_length_a 6.913
_cell_length_b 6.913
_cell_length_c 6.913
_cell_angle_alpha 90.00
_cell_angle_beta 90.00
_cell_angle_gamma 90.00
loop_
_space_group_symop_operation_xyz
'x,y,z'
loop_
_atom_site_label
_atom_site_type_symbol
_atom_site_fract_x
_atom_site_fract_y
_atom_site_fract_z
Cs1 Cs 0.000 0.000 0.000
Cu1 Cu 0.000 0.500 0.500
Cu2 Cu 0.500 0.000 0.500
Cu3 Cu 0.500 0.500 0.000
Sn1 Sn 0.500 0.500 0.500
Te1 Te 0.276 0.276 0.276
Te2 Te 0.276 0.724 0.724
Te3 Te 0.724 0.276 0.724
Te4 Te 0.724 0.724 0.276
```

Values from the calculation:
As for the space-group type: P-43m (215). The crystal system is cubic. The value obtained for the excess energy over the best structure of this formula in the dataset is 0.290 eV per atom.



[2]
PaSiAs | PBE | relaxed

```
data_PaSiAs
_space_group_name_H-M_alt 'P 1'
_space_group_IT_number 1
_cell_length_a 4.692
_cell_length_b 4.692
_cell_length_c 4.692
_cell_angle_alpha 60.00
_cell_angle_beta 60.00
_cell_angle_gamma 60.00
loop_
_space_group_symop_operation_xyz
'x,y,z'
loop_
_atom_site_label
_atom_site_type_symbol
_atom_site_fract_x
_atom_site_fract_y
_atom_site_fract_z
Pa1 Pa 0.000 0.000 0.000
Si1 Si 0.250 0.250 0.250
As1 As 0.750 0.750 0.750
```

Values from the calculation:
As for the space-group type: F-43m (216). The crystal system is cubic. The value obtained for the excess energy over the best structure of this formula in the dataset is 0.000 eV per atom.



[3]
In5HgS2 | PBE | relaxed

```
data_In5HgS2
_space_group_name_H-M_alt 'P 1'
_space_group_IT_number 1
_cell_length_a 4.458
_cell_length_b 4.458
_cell_length_c 11.746
_cell_angle_alpha 90.00
_cell_angle_beta 90.00
_cell_angle_gamma 90.00
loop_
_space_group_symop_operation_xyz
'x,y,z'
loop_
_atom_site_label
_atom_site_type_symbol
_atom_site_fract_x
_atom_site_fract_y
_atom_site_fract_z
In1 In 0.000 0.000 0.000
In2 In 0.000 0.500 0.240
In3 In 0.000 0.500 0.760
In4 In 0.500 0.000 0.240
In5 In 0.500 0.000 0.760
Hg1 Hg 0.500 0.500 0.000
S1 S 0.000 0.000 0.411
S2 S 0.000 0.000 0.589
```

Values from the calculation:
Its total energy is -22.10 eV per formula unit. As for the space-group type: P4/mmm (123). The crystal system is tetragonal.



[4]
TbPrAl2Pt4 | PBE | relaxed

```
data_TbPrAl2Pt4
_space_group_name_H-M_alt 'P 1'
_space_group_IT_number 1
_cell_length_a 4.371
_cell_length_b 4.371
_cell_length_c 9.522
_cell_angle_alpha 90.00
_cell_angle_beta 90.00
_cell_angle_gamma 120.00
loop_
_space_group_symop_operation_xyz
'x,y,z'
loop_
_atom_site_label
_atom_site_type_symbol
_atom_site_fract_x
_atom_site_fract_y
_atom_site_fract_z
Tb1 Tb 0.000 0.000 0.000
Pr1 Pr 0.667 0.333 0.500
Al1 Al 0.333 0.667 0.244
Al2 Al 0.333 0.667 0.756
Pt1 Pt 0.000 0.000 0.317
Pt2 Pt 0.000 0.000 0.683
Pt3 Pt 0.667 0.333 0.163
Pt4 Pt 0.667 0.333 0.837
```

Values from the calculation:
Its total energy is -50.18 eV per formula unit. As for the space-group type: P-6m2 (187). The crystal system is hexagonal.